This record from the Alexandria database describes crystalline PrScInPb at its relaxed geometry. The functional is GGA-PBE.

```
4
Lattice="5.370 0.000 0.000 2.685 4.651 0.000 2.685 1.550 4.385" Properties=species:S:1:pos:R:3 pbc="T T T"
Pb 2.685 1.550 1.096
Pr 5.370 3.101 2.192
Sc 0.000 0.000 0.000
In 8.055 4.651 3.289
```

Summary:
**Size of the total moment**: 0.00 μB per atom
**Electronic total energy**: -4.75 eV/atom